Entry 1:
Material: CsTiFe2I8
Method: DFT, PBE-GGA
State: relaxed

N(E_F), states/eV/f.u.: 13.187
ΔE_f (raw), eV/atom: -0.536
Crystal system: monoclinic

Structure (POSCAR):
```
CsTiFe2I8
1.0
5.981 -4.033 0.000
5.981 4.033 0.000
-1.495 0.000 10.881
Cs Ti Fe I
1 1 2 8
Direct
0.000 0.000 0.000 Cs
0.000 0.000 0.500 Ti
0.384 0.384 0.698 Fe
0.616 0.616 0.302 Fe
0.223 0.732 0.312 I
0.234 0.234 0.504 I
0.268 0.777 0.688 I
0.319 0.319 0.911 I
0.681 0.681 0.089 I
0.732 0.223 0.312 I
0.766 0.766 0.496 I
0.777 0.268 0.688 I
```

Entry 2:
Material: Rb2Cd4Sn3Pb
Method: DFT, PBE-GGA
State: relaxed

Calculated formation energy, kJ/mol of formula units: -129
N(E_F), states/eV/f.u.: 4.217
Crystal system: tetragonal

Structure (POSCAR):
```
Rb2Cd4Sn3Pb
1.0
4.999 0.000 0.000
0.000 4.999 0.000
0.000 0.000 12.643
Rb Cd Sn Pb
2 4 3 1
Direct
0.000 0.500 0.243 Rb
0.500 0.000 0.757 Rb
0.000 0.000 0.000 Cd
0.000 0.500 0.643 Cd
0.500 0.000 0.357 Cd
0.500 0.500 0.000 Cd
0.000 0.500 0.871 Sn
0.500 0.000 0.129 Sn
0.500 0.500 0.500 Sn
0.000 0.000 0.500 Pb
```

Entry 3:
Material: PuMgAgTe3
Method: DFT, PBE-GGA
State: relaxed

N(E_F), states/eV/f.u.: 13.878
ΔE_f (raw), eV/atom: -0.683
Crystal system: monoclinic

Structure (POSCAR):
```
PuMgAgTe3
1.0
8.404 0.000 0.000
0.000 4.256 0.000
-2.046 0.000 9.397
Pu Mg Ag Te
2 2 2 6
Direct
0.183 0.250 0.248 Pu
0.817 0.750 0.752 Pu
0.337 0.750 0.834 Mg
0.663 0.250 0.166 Mg
0.084 0.250 0.584 Ag
0.916 0.750 0.416 Ag
0.092 0.250 0.877 Te
0.278 0.750 0.510 Te
0.416 0.750 0.148 Te
0.584 0.250 0.852 Te
0.722 0.250 0.490 Te
0.908 0.750 0.123 Te
```

Entry 4:
Material: Rb3Na3MgBr8
Method: DFT, PBE-GGA
State: relaxed

N(E_F), states/eV/f.u.: 0.000
ΔE_f (raw), eV/atom: -1.601
Crystal system: trigonal

Structure (POSCAR):
```
Rb3Na3MgBr8
1.0
4.399 2.540 7.909
-4.399 2.540 7.909
0.000 -5.079 7.909
Rb Na Mg Br
3 3 1 8
Direct
0.000 0.500 0.500 Rb
0.500 0.000 0.500 Rb
0.500 0.500 0.000 Rb
0.000 0.000 0.500 Na
0.000 0.500 0.000 Na
0.500 0.000 0.000 Na
0.500 0.500 0.500 Mg
0.237 0.237 0.237 Br
0.264 0.715 0.715 Br
0.285 0.285 0.736 Br
0.285 0.736 0.285 Br
0.715 0.264 0.715 Br
0.715 0.715 0.264 Br
0.736 0.285 0.285 Br
0.763 0.763 0.763 Br
```

Entry 5:
Material: BaTc2Pb
Method: DFT, PBE-GGA
State: relaxed

Calculated formation energy, kJ/mol of formula units: 248
N(E_F), states/eV/f.u.: 3.440
Crystal system: monoclinic

Structure (POSCAR):
```
BaTc2Pb
1.0
3.757 0.000 0.000
0.000 5.169 0.000
-0.364 0.000 6.133
Ba Tc Pb
1 2 1
Direct
0.000 0.000 0.000 Ba
0.261 0.500 0.612 Tc
0.739 0.500 0.388 Tc
0.500 0.000 0.500 Pb
```

Entry 6:
Material: In3Hg5
Method: DFT, PBE-GGA
State: relaxed

Calculated formation energy, kJ/mol of formula units: -2
Relative energy among the computed polymorphs, kJ/mol of formula units: 0
N(E_F), states/eV/f.u.: 2.516
Crystal system: orthorhombic

Structure (POSCAR):
```
In3Hg5
1.0
4.594 -4.653 0.000
4.594 4.653 0.000
0.000 0.000 4.970
In Hg
3 5
Direct
0.000 0.000 0.000 In
0.268 0.732 0.500 In
0.732 0.268 0.500 In
0.000 0.500 0.000 Hg
0.234 0.234 0.500 Hg
0.500 0.000 0.000 Hg
0.500 0.500 0.000 Hg
0.766 0.766 0.500 Hg
```